(1)
The following is a PBE-GGA calculation of crystalline Ba2HgS at its relaxed geometry, from Alexandria via LeMat-Bulk.

Lattice parameters (Å, degrees): 4.563 4.563 8.915 75.17 75.17 60.00
Sites, in units of the cell vectors:
S1 0.000 0.000 0.000
Hg1 0.500 0.500 0.500
Ba1 0.262 0.262 0.215
Ba2 0.738 0.738 0.785

energy	-12.91	eV for the cell shown
volume	38.40	Å³/atom
D(E_F)	3.41	states/eV per cell
raw formation energy	-1.159	eV per atom


(2)
The following is a PBE-GGA calculation of crystalline NdMnTl2Te4 at its relaxed geometry, from Alexandria via LeMat-Bulk.

Lattice parameters (Å, degrees): 4.353 7.675 8.350 107.59 90.00 90.00
Sites, in units of the cell vectors:
Nd1 0.000 0.000 0.000
Mn1 0.500 0.500 0.000
Tl1 0.500 0.000 0.500
Tl2 0.000 0.500 0.500
Te1 0.500 0.258 0.219
Te2 0.500 0.742 0.781
Te3 0.000 0.295 0.803
Te4 0.000 0.705 0.197

energy	-35.89	eV for the cell shown
volume	33.24	Å³/atom
D(E_F)	3.40	states/eV per cell
raw formation energy	-0.582	eV per atom


(3)
The following is a PBE-GGA calculation of crystalline La6InHg5 at its relaxed geometry, from Alexandria via LeMat-Bulk.

Lattice parameters (Å, degrees): 5.526 7.881 9.584 114.28 106.75 90.00
Sites, in units of the cell vectors:
In1 0.000 0.000 0.000
Hg1 0.664 0.164 0.328
Hg2 0.333 0.333 0.666
Hg3 0.000 0.500 0.000
Hg4 0.667 0.667 0.334
Hg5 0.336 0.836 0.672
La1 0.832 0.581 0.665
La2 0.833 0.084 0.665
La3 0.500 0.747 0.000
La4 0.500 0.253 0.000
La5 0.167 0.916 0.335
La6 0.168 0.419 0.335

energy	-39.81	eV for the cell shown
volume	30.08	Å³/atom
D(E_F)	13.89	states/eV per cell


(4)
The following is a PBE-GGA calculation of crystalline Rb3Ca5H12 at its relaxed geometry, from Alexandria via LeMat-Bulk.

Lattice parameters (Å, degrees): 12.781 12.781 12.781 109.47 109.47 109.47
Sites, in units of the cell vectors:
Rb1 0.750 0.375 0.125
Rb2 0.875 0.750 0.125
Rb3 0.375 0.750 0.625
Rb4 0.250 0.125 0.375
Rb5 0.875 0.125 0.250
Rb6 0.375 0.625 0.250
Rb7 0.625 0.375 0.750
Rb8 0.125 0.875 0.750
Rb9 0.750 0.875 0.625
Rb10 0.625 0.250 0.375
Rb11 0.125 0.250 0.875
Rb12 0.250 0.625 0.875
Ca1 0.125 0.375 0.250
Ca2 0.000 0.500 0.000
Ca3 0.000 0.000 0.000
Ca4 0.375 0.250 0.125
Ca5 0.500 0.000 0.500
Ca6 0.500 0.500 0.000
Ca7 0.125 0.750 0.375
Ca8 0.750 0.125 0.875
Ca9 0.750 0.625 0.375
Ca10 0.375 0.125 0.750
Ca11 0.625 0.875 0.250
Ca12 0.500 0.500 0.500
Ca13 0.500 0.000 0.000
Ca14 0.000 0.000 0.500
Ca15 0.250 0.375 0.625
Ca16 0.250 0.875 0.125
Ca17 0.000 0.500 0.500
Ca18 0.875 0.250 0.625
Ca19 0.625 0.750 0.875
Ca20 0.875 0.625 0.750
H1 0.691 0.110 0.014
H2 0.323 0.514 0.403
H3 0.986 0.390 0.309
H4 0.514 0.191 0.110
H5 0.580 0.691 0.677
H6 0.986 0.597 0.177
H7 0.323 0.809 0.420
H8 0.097 0.920 0.110
H9 0.597 0.986 0.677
H10 0.691 0.580 0.177
H11 0.809 0.486 0.390
H12 0.823 0.903 0.014
H13 0.110 0.691 0.514
H14 0.390 0.403 0.080
H15 0.080 0.903 0.390
H16 0.420 0.110 0.597
H17 0.080 0.177 0.191
H18 0.486 0.677 0.097
H19 0.823 0.920 0.309
H20 0.110 0.420 0.097
H21 0.390 0.986 0.809
H22 0.597 0.610 0.420
H23 0.903 0.823 0.514
H24 0.809 0.323 0.920
H25 0.403 0.390 0.580
H26 0.097 0.177 0.486
H27 0.191 0.677 0.080
H28 0.177 0.080 0.691
H29 0.610 0.014 0.191
H30 0.890 0.580 0.903
H31 0.514 0.323 0.903
H32 0.580 0.890 0.403
H33 0.920 0.823 0.809
H34 0.920 0.097 0.610
H35 0.890 0.309 0.486
H36 0.177 0.097 0.986
H37 0.610 0.597 0.920
H38 0.403 0.014 0.323
H39 0.309 0.420 0.823
H40 0.191 0.514 0.610
H41 0.903 0.080 0.890
H42 0.677 0.191 0.580
H43 0.486 0.809 0.890
H44 0.014 0.403 0.823
H45 0.420 0.309 0.323
H46 0.014 0.610 0.691
H47 0.677 0.486 0.597
H48 0.309 0.890 0.986

energy	-236.70	eV for the cell shown
volume	20.09	Å³/atom
D(E_F)	24.66	states/eV per cell


(5)
The following is a PBE-GGA calculation of crystalline ZrOsAu at its relaxed geometry, from Alexandria via LeMat-Bulk.

Lattice parameters (Å, degrees): 4.478 4.478 4.478 60.00 60.00 60.00
Sites, in units of the cell vectors:
Au1 0.000 0.000 0.000
Os1 0.500 0.500 0.500
Zr1 0.750 0.750 0.750

energy	-21.77	eV for the cell shown
volume	21.17	Å³/atom
D(E_F)	2.28	states/eV per cell


(6)
The following is a PBE-GGA calculation of crystalline CsSiAu4 at its relaxed geometry, from Alexandria via LeMat-Bulk.

Lattice parameters (Å, degrees): 6.902 6.905 9.657 120.13 119.92 86.85
Sites, in units of the cell vectors:
Cs1 0.821 0.821 0.019
Cs2 0.179 0.179 0.981
Si1 0.500 0.000 0.500
Si2 0.000 0.500 0.500
Au1 0.538 0.226 0.810
Au2 0.776 0.461 0.190
Au3 0.462 0.774 0.190
Au4 0.224 0.539 0.810
Au5 0.686 0.686 0.499
Au6 0.272 0.729 0.500
Au7 0.314 0.314 0.501
Au8 0.728 0.271 0.500

energy	-40.48	eV for the cell shown
volume	27.76	Å³/atom
D(E_F)	3.30	states/eV per cell
raw formation energy	-0.142	eV per atom


(7)
The following is a PBE-GGA calculation of crystalline Hf2HPt at its relaxed geometry, from Alexandria via LeMat-Bulk.

Lattice parameters (Å, degrees): 6.224 6.224 5.489 55.46 55.46 90.00
Sites, in units of the cell vectors:
H1 0.500 0.500 0.000
H2 0.250 0.750 0.500
Hf1 0.553 0.125 0.250
Hf2 0.197 0.625 0.250
Hf3 0.375 0.447 0.750
Hf4 0.875 0.803 0.750
Pt1 0.000 0.000 0.000
Pt2 0.750 0.250 0.500

energy	-63.12	eV for the cell shown
volume	15.88	Å³/atom
D(E_F)	5.78	states/eV per cell


(8)
The following is a PBE-GGA calculation of crystalline TlTeS3 at its relaxed geometry, from Alexandria via LeMat-Bulk.

Lattice parameters (Å, degrees): 3.923 7.264 10.080 96.73 90.10 74.44
Sites, in units of the cell vectors:
Tl1 0.124 0.253 0.088
Tl2 0.876 0.747 0.912
Te1 0.355 0.784 0.355
Te2 0.645 0.216 0.645
S1 0.994 0.506 0.399
S2 0.006 0.494 0.601
S3 0.562 0.380 0.868
S4 0.261 0.980 0.682
S5 0.438 0.620 0.132
S6 0.739 0.020 0.318

energy	-36.43	eV for the cell shown
volume	27.47	Å³/atom
raw formation energy	-0.065	eV per atom


(9)
The following is a PBE-GGA calculation of crystalline K3Pr3SiS8 at its relaxed geometry, from Alexandria via LeMat-Bulk.

Lattice parameters (Å, degrees): 8.149 8.149 8.862 117.38 90.00 120.00
Sites, in units of the cell vectors:
K1 0.000 0.000 0.000
K2 0.000 0.500 0.000
K3 0.500 0.500 0.000
Pr1 0.500 0.000 0.500
Pr2 0.500 0.500 0.500
Pr3 0.000 0.500 0.500
Si1 0.000 0.000 0.500
S1 0.263 0.527 0.290
S2 0.737 0.473 0.710
S3 0.798 0.597 0.318
S4 0.202 0.403 0.682
S5 0.799 0.019 0.317
S6 0.201 0.981 0.683
S7 0.220 0.019 0.317
S8 0.780 0.981 0.683

energy	-78.20	eV for the cell shown
volume	28.79	Å³/atom
raw formation energy	-1.475	eV per atom


(10)
The following is a PBE-GGA calculation of crystalline LaTe2Pb at its relaxed geometry, from Alexandria via LeMat-Bulk.

Lattice parameters (Å, degrees): 6.556 6.556 4.987 89.99 89.99 37.80
Sites, in units of the cell vectors:
La1 0.472 0.472 0.625
Pb1 0.260 0.260 0.125
Te1 0.011 0.011 0.125
Te2 0.757 0.757 0.625

energy	-18.80	eV for the cell shown
volume	32.85	Å³/atom
D(E_F)	1.83	states/eV per cell
raw formation energy	-0.969	eV per atom


(11)
The following is a PBE-GGA calculation of crystalline Sr6H2N at its relaxed geometry, from Alexandria via LeMat-Bulk.

Lattice parameters (Å, degrees): 4.071 7.102 10.846 98.29 90.00 106.65
Sites, in units of the cell vectors:
Sr1 0.131 0.261 0.702
Sr2 0.141 0.281 0.096
Sr3 0.859 0.719 0.904
Sr4 0.399 0.797 0.589
Sr5 0.601 0.203 0.411
Sr6 0.869 0.739 0.298
H1 0.316 0.633 0.782
H2 0.684 0.367 0.218
N1 0.000 0.000 0.500

energy	-27.53	eV for the cell shown
volume	33.00	Å³/atom
D(E_F)	5.84	states/eV per cell


(12)
The following is a PBE-GGA calculation of crystalline SrInCoHg2 at its relaxed geometry, from Alexandria via LeMat-Bulk.

Lattice parameters (Å, degrees): 5.116 5.116 4.914 90.00 90.00 90.00
Sites, in units of the cell vectors:
Sr1 0.500 0.500 0.500
Co1 0.000 0.000 0.000
Hg1 0.000 0.500 0.000
Hg2 0.500 0.000 0.000
In1 0.000 0.000 0.500

energy	-12.79	eV for the cell shown
volume	25.73	Å³/atom
D(E_F)	3.28	states/eV per cell


(13)
The following is a PBE-GGA calculation of crystalline MnSb2Pb at its relaxed geometry, from Alexandria via LeMat-Bulk.

Lattice parameters (Å, degrees): 9.621 9.621 9.621 21.01 21.01 21.01
Sites, in units of the cell vectors:
Mn1 0.506 0.506 0.506
Pb1 0.763 0.763 0.763
Sb1 0.999 0.999 0.999
Sb2 0.233 0.233 0.233

energy	-19.91	eV for the cell shown
volume	25.07	Å³/atom
D(E_F)	2.62	states/eV per cell
raw formation energy	0.304	eV per atom


(14)
The following is a PBE-GGA calculation of crystalline YAlCo2 at its relaxed geometry, from Alexandria via LeMat-Bulk.

Lattice parameters (Å, degrees): 3.757 3.726 5.074 68.43 90.00 90.00
Sites, in units of the cell vectors:
Y1 0.000 0.472 0.432
Co1 0.000 0.197 0.981
Co2 0.500 0.069 0.237
Al1 0.500 0.763 0.850

energy	-25.08	eV for the cell shown
volume	16.51	Å³/atom
D(E_F)	4.43	states/eV per cell


(15)
The following is a PBE-GGA calculation of crystalline Na2MgBi2 at its relaxed geometry, from Alexandria via LeMat-Bulk.

Lattice parameters (Å, degrees): 7.765 7.765 5.195 90.00 90.00 90.00
Sites, in units of the cell vectors:
Na1 0.162 0.662 0.500
Na2 0.662 0.838 0.500
Na3 0.838 0.338 0.500
Na4 0.338 0.162 0.500
Mg1 0.000 0.000 0.000
Mg2 0.500 0.500 0.000
Bi1 0.356 0.856 0.000
Bi2 0.856 0.644 0.000
Bi3 0.644 0.144 0.000
Bi4 0.144 0.356 0.000

energy	-26.55	eV for the cell shown
volume	31.33	Å³/atom
D(E_F)	1.84	states/eV per cell


(16)
The following is a PBE-GGA calculation of crystalline TlTcAg2 at its relaxed geometry, from Alexandria via LeMat-Bulk.

Lattice parameters (Å, degrees): 3.966 3.966 10.746 79.37 79.37 90.00
Sites, in units of the cell vectors:
Tl1 0.000 0.000 0.000
Tl2 0.750 0.250 0.500
Tc1 0.500 0.500 0.000
Tc2 0.250 0.750 0.500
Ag1 0.617 0.125 0.250
Ag2 0.133 0.625 0.250
Ag3 0.375 0.383 0.750
Ag4 0.875 0.867 0.750

energy	-30.88	eV for the cell shown
volume	20.39	Å³/atom
D(E_F)	3.76	states/eV per cell


(17)
The following is a PBE-GGA calculation of crystalline PmMg2Ge3 at its relaxed geometry, from Alexandria via LeMat-Bulk.

Lattice parameters (Å, degrees): 4.087 4.539 13.444 90.00 90.00 90.00
Sites, in units of the cell vectors:
Pm1 0.999 0.500 0.500
Pm2 0.001 0.000 0.000
Mg1 0.000 0.000 0.674
Mg2 0.000 0.000 0.326
Mg3 0.000 0.500 0.174
Mg4 0.000 0.500 0.826
Ge1 0.500 0.500 0.676
Ge2 0.499 0.000 0.500
Ge3 0.500 0.500 0.324
Ge4 0.500 0.000 0.176
Ge5 0.501 0.500 0.000
Ge6 0.500 0.000 0.824

energy	-47.82	eV for the cell shown
volume	20.79	Å³/atom
D(E_F)	4.51	states/eV per cell


(18)
The following is a PBE-GGA calculation of crystalline Ho3Zn9Hg2 at its relaxed geometry, from Alexandria via LeMat-Bulk.

Lattice parameters (Å, degrees): 4.449 8.286 8.286 66.02 74.43 74.43
Sites, in units of the cell vectors:
Ho1 0.000 0.000 0.000
Ho2 0.707 0.293 0.293
Ho3 0.293 0.707 0.707
Zn1 0.000 0.500 0.500
Zn2 0.665 0.970 0.700
Zn3 0.335 0.030 0.300
Zn4 0.665 0.700 0.970
Zn5 0.335 0.300 0.030
Zn6 0.856 0.867 0.421
Zn7 0.144 0.133 0.579
Zn8 0.856 0.421 0.867
Zn9 0.144 0.579 0.133
Hg1 0.500 0.308 0.692
Hg2 0.500 0.692 0.308

energy	-29.81	eV for the cell shown
volume	18.88	Å³/atom
D(E_F)	7.03	states/eV per cell


(19)
The following is a PBE-GGA calculation of crystalline Ac4PSI2 at its relaxed geometry, from Alexandria via LeMat-Bulk.

Lattice parameters (Å, degrees): 4.349 7.489 8.730 106.78 90.00 90.00
Sites, in units of the cell vectors:
Ac1 0.500 0.231 0.196
Ac2 0.500 0.769 0.804
Ac3 0.000 0.267 0.804
Ac4 0.000 0.733 0.196
P1 0.500 0.500 0.000
S1 0.000 0.000 0.000
I1 0.500 0.000 0.500
I2 0.000 0.500 0.500

energy	-40.12	eV for the cell shown
volume	34.03	Å³/atom
D(E_F)	5.36	states/eV per cell
raw formation energy	-1.380	eV per atom


(20)
The following is a PBE-GGA calculation of crystalline PuPaFePt at its relaxed geometry, from Alexandria via LeMat-Bulk.

Lattice parameters (Å, degrees): 4.662 4.662 4.662 60.00 60.00 60.00
Sites, in units of the cell vectors:
Pu1 0.500 0.500 0.500
Pa1 0.250 0.250 0.250
Fe1 0.000 0.000 0.000
Pt1 0.750 0.750 0.750

energy	-40.25	eV for the cell shown
volume	17.91	Å³/atom
D(E_F)	7.84	states/eV per cell